# 1
A relaxed FeP2Pt crystal, computed with PBE.

Geometry as POSCAR:
```
FeP2Pt
1.0
3.308 0.000 0.000
0.000 3.308 0.000
0.000 0.000 4.857
Fe P Pt
1 2 1
Direct
0.000 0.000 0.000
0.000 0.000 0.487
0.500 0.500 0.125
0.500 0.500 0.636
```

## Properties
ΔE to the lowest computed polymorph   181 meV/atom
Total magnetic moment   0.17 Bohr magnetons per cell



# 2
A relaxed Fe2PPt crystal, computed with PBE.

Geometry as POSCAR:
```
Fe2PPt
1.0
2.743 0.000 0.000
0.000 2.743 0.000
0.000 0.000 6.399
Fe P Pt
2 1 1
Direct
0.000 0.000 0.204
0.000 0.000 0.796
0.500 0.500 0.000
0.500 0.500 0.500
```

## Properties
Uncorrected energy   -29.262 eV for the cell shown
Total magnetic moment   3.20 Bohr magnetons per cell



# 3
A relaxed Fe2PPt crystal, computed with PBE.

Geometry as POSCAR:
```
Fe2PPt
1.0
0.000 2.973 2.973
2.973 0.000 2.973
2.973 2.973 0.000
Fe P Pt
2 1 1
Direct
0.000 0.000 0.000
0.250 0.250 0.250
0.750 0.750 0.750
0.500 0.500 0.500
```

## Properties
Uncorrected energy   -28.308 eV for the cell shown
Total magnetic moment   5.66 Bohr magnetons per cell